# Cs2SrTeO6 | the Alexandria database | GGA-PBE | optimized geometry
data_Cs2SrTeO6
_symmetry_space_group_name_H-M 'P 1'
_symmetry_Int_Tables_number 1
_cell_length_a 6.9000
_cell_length_b 6.9000
_cell_length_c 6.4095
_cell_angle_alpha 90.00
_cell_angle_beta 90.00
_cell_angle_gamma 120.00
loop_
_symmetry_equiv_pos_as_xyz
'x,y,z'
loop_
_atom_site_label
_atom_site_fract_x
_atom_site_fract_y
_atom_site_fract_z
_atom_site_occupancy
Cs1 0.3333 0.6667 0.1157 1
Cs2 0.6667 0.3333 0.8843 1
Sr1 0.0000 0.0000 0.5000 1
Te1 0.0000 0.0000 0.0000 1
O1 0.1301 0.2603 0.8169 1
O2 0.1301 0.8699 0.8169 1
O3 0.2603 0.1301 0.1831 1
O4 0.7397 0.8699 0.8169 1
O5 0.8699 0.1301 0.1831 1
O6 0.8699 0.7397 0.1831 1
# calculated volume: 264.3 Å³ per cell
# total energy: -5.02 eV/atom
# uncorrected formation energy: -1.3965 eV/atom
# space-group type: P-3m1

# RbHW2 | the Alexandria database | GGA-PBE | optimized geometry
data_RbHW2
_symmetry_space_group_name_H-M 'P 1'
_symmetry_Int_Tables_number 1
_cell_length_a 4.5228
_cell_length_b 4.5228
_cell_length_c 4.5228
_cell_angle_alpha 60.00
_cell_angle_beta 60.00
_cell_angle_gamma 60.00
loop_
_symmetry_equiv_pos_as_xyz
'x,y,z'
loop_
_atom_site_label
_atom_site_fract_x
_atom_site_fract_y
_atom_site_fract_z
_atom_site_occupancy
Rb1 0.0000 0.0000 0.0000 1
H1 0.5000 0.5000 0.5000 1
W1 0.2500 0.2500 0.2500 1
W2 0.7500 0.7500 0.7500 1
# E above lowest polymorph: 1.790 eV per atom
# calculated volume: 65.4 Å³ per cell
# total energy: -4.33 eV/atom
# space-group type: Fm-3m

# CrCd2As2 | the Alexandria database | GGA-PBE | optimized geometry
data_CrCd2As2
_symmetry_space_group_name_H-M 'P 1'
_symmetry_Int_Tables_number 1
_cell_length_a 6.3670
_cell_length_b 6.3670
_cell_length_c 5.5177
_cell_angle_alpha 90.00
_cell_angle_beta 90.00
_cell_angle_gamma 90.00
loop_
_symmetry_equiv_pos_as_xyz
'x,y,z'
loop_
_atom_site_label
_atom_site_fract_x
_atom_site_fract_y
_atom_site_fract_z
_atom_site_occupancy
Cr1 0.0000 0.0000 0.0000 1
Cr2 0.5000 0.5000 0.0000 1
Cd1 0.1897 0.3103 0.5000 1
Cd2 0.3103 0.8103 0.5000 1
Cd3 0.6897 0.1897 0.5000 1
Cd4 0.8103 0.6897 0.5000 1
As1 0.1367 0.3633 0.0000 1
As2 0.3633 0.8633 0.0000 1
As3 0.6367 0.1367 0.0000 1
As4 0.8633 0.6367 0.0000 1
# calculated volume: 223.7 Å³ per cell
# total energy: -4.05 eV/atom
# DFT formation energy: 0.101 eV/atom
# space-group type: P4/mbm

# Ba8Tl2N | the Alexandria database | GGA-PBE | optimized geometry
data_Ba8Tl2N
_symmetry_space_group_name_H-M 'P 1'
_symmetry_Int_Tables_number 1
_cell_length_a 10.7613
_cell_length_b 10.7613
_cell_length_c 7.5628
_cell_angle_alpha 109.15
_cell_angle_beta 109.15
_cell_angle_gamma 35.21
loop_
_symmetry_equiv_pos_as_xyz
'x,y,z'
loop_
_atom_site_label
_atom_site_fract_x
_atom_site_fract_y
_atom_site_fract_z
_atom_site_occupancy
Ba1 0.0192 0.0192 0.2775 1
Ba2 0.2214 0.2214 0.7780 1
Ba3 0.3750 0.3750 0.5630 1
Ba4 0.4166 0.4166 0.1428 1
Ba5 0.5834 0.5834 0.8572 1
Ba6 0.6250 0.6250 0.4370 1
Ba7 0.7786 0.7786 0.2220 1
Ba8 0.9808 0.9808 0.7225 1
Tl1 0.1783 0.1783 0.2092 1
Tl2 0.8217 0.8217 0.7908 1
N1 0.5000 0.5000 0.5000 1
# calculated volume: 474.2 Å³ per cell
# total energy: -2.70 eV/atom
# uncorrected formation energy: -0.1174 eV/atom
# space-group type: C2/m